! Er12Ir3C5 (PBE, relaxed); values from VASP
&SYSTEM
  ibrav = 0, nat = 80, ntyp = 3
/
ATOMIC_SPECIES
C 12.01 C.upf
Ir 192.22 Ir.upf
Er 167.26 Er.upf
ATOMIC_POSITIONS crystal
C 0.125 0.375 0.250
C 0.000 0.500 0.000
C 0.000 0.000 0.000
C 0.375 0.250 0.125
C 0.500 0.000 0.500
C 0.500 0.500 0.000
C 0.125 0.750 0.375
C 0.750 0.125 0.875
C 0.750 0.625 0.375
C 0.375 0.125 0.750
C 0.625 0.875 0.250
C 0.500 0.500 0.500
C 0.500 0.000 0.000
C 0.000 0.000 0.500
C 0.250 0.375 0.625
C 0.250 0.875 0.125
C 0.000 0.500 0.500
C 0.875 0.250 0.625
C 0.625 0.750 0.875
C 0.875 0.625 0.750
Ir 0.750 0.375 0.125
Ir 0.875 0.750 0.125
Ir 0.375 0.750 0.625
Ir 0.250 0.125 0.375
Ir 0.875 0.125 0.250
Ir 0.375 0.625 0.250
Ir 0.625 0.375 0.750
Ir 0.125 0.875 0.750
Ir 0.750 0.875 0.625
Ir 0.625 0.250 0.375
Ir 0.125 0.250 0.875
Ir 0.250 0.625 0.875
Er 0.708 0.124 0.029
Er 0.321 0.529 0.404
Er 0.971 0.376 0.292
Er 0.529 0.208 0.124
Er 0.583 0.708 0.679
Er 0.971 0.596 0.179
Er 0.321 0.792 0.417
Er 0.096 0.917 0.124
Er 0.596 0.971 0.679
Er 0.708 0.583 0.179
Er 0.792 0.471 0.376
Er 0.821 0.904 0.029
Er 0.124 0.708 0.529
Er 0.376 0.404 0.083
Er 0.083 0.904 0.376
Er 0.417 0.124 0.596
Er 0.083 0.179 0.208
Er 0.471 0.679 0.096
Er 0.821 0.917 0.292
Er 0.124 0.417 0.096
Er 0.376 0.971 0.792
Er 0.596 0.624 0.417
Er 0.904 0.821 0.529
Er 0.792 0.321 0.917
Er 0.404 0.376 0.583
Er 0.096 0.179 0.471
Er 0.208 0.679 0.083
Er 0.179 0.083 0.708
Er 0.624 0.029 0.208
Er 0.876 0.583 0.904
Er 0.529 0.321 0.904
Er 0.583 0.876 0.404
Er 0.917 0.821 0.792
Er 0.917 0.096 0.624
Er 0.876 0.292 0.471
Er 0.179 0.096 0.971
Er 0.624 0.596 0.917
Er 0.404 0.029 0.321
Er 0.292 0.417 0.821
Er 0.208 0.529 0.624
Er 0.904 0.083 0.876
Er 0.679 0.208 0.583
Er 0.471 0.792 0.876
Er 0.029 0.404 0.821
Er 0.417 0.292 0.321
Er 0.029 0.624 0.708
Er 0.679 0.471 0.596
Er 0.292 0.876 0.971
CELL_PARAMETERS angstrom
13.181 0.000 0.000
-4.394 12.427 0.000
-4.394 -6.213 10.762
! DFT formation energy: -0.352 eV/atom



! Er2IrC (PBE, relaxed); values from VASP
&SYSTEM
  ibrav = 0, nat = 4, ntyp = 3
/
ATOMIC_SPECIES
C 12.01 C.upf
Ir 192.22 Ir.upf
Er 167.26 Er.upf
ATOMIC_POSITIONS crystal
C 0.500 0.500 0.500
Ir 0.000 0.000 0.000
Er 0.110 0.110 0.670
Er 0.890 0.890 0.330
CELL_PARAMETERS angstrom
3.412 0.000 0.000
1.706 2.955 0.000
1.706 0.985 7.946
! DFT formation energy: 0.132 eV/atom



! KEr2C2N6 (PBE, relaxed); values from VASP
&SYSTEM
  ibrav = 0, nat = 11, ntyp = 4
/
ATOMIC_SPECIES
K 39.10 K.upf
Er 167.26 Er.upf
C 12.01 C.upf
N 14.01 N.upf
ATOMIC_POSITIONS crystal
K 0.500 0.000 0.500
Er 0.828 0.344 0.800
Er 0.172 0.656 0.200
C 0.163 0.675 0.750
C 0.837 0.325 0.250
N 0.394 0.585 0.815
N 0.979 0.415 0.185
N 0.077 0.847 0.635
N 0.021 0.585 0.815
N 0.923 0.153 0.365
N 0.606 0.415 0.185
CELL_PARAMETERS angstrom
6.057 0.001 0.003
3.024 5.107 0.085
0.001 -2.748 5.440
! Energy relative to the elements, uncorrected: -425 meV/atom



! KErC2O6 (PBE, relaxed); values from VASP
&SYSTEM
  ibrav = 0, nat = 20, ntyp = 4
/
ATOMIC_SPECIES
K 39.10 K.upf
Er 167.26 Er.upf
C 12.01 C.upf
O 16.00 O.upf
ATOMIC_POSITIONS crystal
K 0.618 0.382 0.750
K 0.382 0.618 0.250
Er 0.091 0.909 0.750
Er 0.909 0.091 0.250
C 0.643 0.899 0.747
C 0.357 0.101 0.253
C 0.101 0.357 0.753
C 0.899 0.643 0.247
O 0.442 0.910 0.764
O 0.558 0.090 0.236
O 0.090 0.558 0.736
O 0.910 0.442 0.264
O 0.708 0.760 0.877
O 0.292 0.240 0.123
O 0.240 0.292 0.623
O 0.760 0.708 0.377
O 0.801 0.036 0.599
O 0.199 0.964 0.401
O 0.964 0.199 0.901
O 0.036 0.801 0.099
CELL_PARAMETERS angstrom
-0.644 -4.270 -4.695
6.324 0.709 -0.442
2.489 -5.917 2.849
! Energy relative to the elements, uncorrected: -2161 meV/atom



no.,final energy (eV per cell),total moment (μB per formula unit)
1,-537.97,0.0
2,-26.68,0.0
3,-83.30,0.8
4,-150.93,0.0